[1]
# Rb2YAuI6

Rb2YAuI6 after structural relaxation (PBE, Alexandria via LeMat-Bulk).

Unit cell a=8.4647 b=8.4647 c=8.6192 alpha=60.59 beta=60.59 gamma=90.00
Last column: nearest neighbours and their distance in Å.
Atoms (fractional coordinates):
I (0.2562, 0.2562, 0.4876)  1 Y 3.02, 1 Au 3.18
I (0.7438, 0.7438, 0.5124)  1 Y 3.02, 1 Au 3.18
I (0.2467, 0.2467, 0.0000)  1 Au 2.95, 1 Y 3.03
I (0.7533, 0.7533, 0.0000)  1 Au 2.95, 1 Y 3.03
I (0.7533, 0.2467, 0.0000)  1 Au 2.95, 1 Y 3.03
I (0.2467, 0.7533, 0.0000)  1 Au 2.95, 1 Y 3.03
Y (0.5000, 0.5000, 0.0000)  6 I 3.02-3.03
Au (0.0000, 0.0000, 0.0000)  6 I 2.95-3.18
Rb (0.7500, 0.2500, 0.5000)  12 I 4.23-4.31
Rb (0.2500, 0.7500, 0.5000)  12 I 4.23-4.31

## Properties
* density: 4.55 g/cm³
* DOS at the Fermi energy: 0.00 states/eV/f.u.
* crystal system: tetragonal
* total moment: 0.00 μB per formula unit
* formation energy from raw total energies: -1.079 eV/atom

---

[2]
# Rb2ZnAuI

Rb2ZnAuI after structural relaxation (PBE, Alexandria via LeMat-Bulk).

Unit cell a=6.5765 b=6.5765 c=5.0633 alpha=90.00 beta=90.00 gamma=90.00
Last column: nearest neighbours and their distance in Å.
Atoms (fractional coordinates):
I (0.5000, 0.5000, 0.5000)  8 Rb 4.15
Zn (0.0000, 0.0000, 0.5000)  2 Au 2.53
Au (0.0000, 0.0000, 0.0000)  2 Zn 2.53
Rb (0.0000, 0.5000, 0.0000)  2 Au 3.29
Rb (0.5000, 0.0000, 0.0000)  2 Au 3.29

## Properties
* density: 4.25 g/cm³
* DOS at the Fermi energy: 1.06 states/eV/f.u.
* crystal system: tetragonal
* total moment: 0.00 μB per formula unit
* formation energy from raw total energies: -0.580 eV/atom

---

[3]
# Rb2ZnAuI6

Rb2ZnAuI6 after structural relaxation (PBE, Alexandria via LeMat-Bulk).

Unit cell a=8.4123 b=8.4123 c=8.4372 alpha=60.10 beta=60.10 gamma=90.00
Last column: nearest neighbours and their distance in Å.
Atoms (fractional coordinates):
I (0.2865, 0.2865, 0.4271)  1 Zn 2.56
I (0.7135, 0.7135, 0.5729)  1 Zn 2.56
I (0.2336, 0.2336, 0.0000)  1 Au 2.78
I (0.7664, 0.7664, 0.0000)  1 Au 2.78
I (0.7664, 0.2336, 0.0000)  1 Au 2.78
I (0.2336, 0.7664, 0.0000)  1 Au 2.78
Zn (0.5000, 0.5000, 0.0000)  2 I 2.56
Au (0.0000, 0.0000, 0.0000)  4 I 2.78
Rb (0.7500, 0.2500, 0.5000)  12 I 4.22-4.23
Rb (0.2500, 0.7500, 0.5000)  12 I 4.22-4.23

## Properties
* density: 4.69 g/cm³
* DOS at the Fermi energy: 11.11 states/eV/f.u.
* crystal system: tetragonal
* total moment: 0.00 μB per formula unit
* formation energy from raw total energies: -0.703 eV/atom

---

[4]
# RbZrAuI2

RbZrAuI2 after structural relaxation (PBE, Alexandria via LeMat-Bulk).

Unit cell a=5.6084 b=8.9059 c=5.6084 alpha=90.00 beta=90.00 gamma=90.00
Last column: nearest neighbours and their distance in Å.
Atoms (fractional coordinates):
I (0.0000, 0.0000, 0.5000)  2 Zr 2.80
I (0.5000, 0.0000, 0.0000)  2 Zr 2.80
Au (0.5000, 0.5000, 0.5000)  4 Rb 3.97
Rb (0.0000, 0.5000, 0.0000)  4 Au 3.97
Zr (0.0000, 0.0000, 0.0000)  4 I 2.80

## Properties
* density: 3.72 g/cm³
* DOS at the Fermi energy: 1.55 states/eV/f.u.
* crystal system: tetragonal
* total moment: 1.98 μB per formula unit
* formation energy from raw total energies: -0.044 eV/atom

---

[5]
# ReAuI3

ReAuI3 after structural relaxation (PBE, Alexandria via LeMat-Bulk).

Unit cell a=5.6820 b=5.6820 c=5.6820 alpha=90.00 beta=90.00 gamma=90.00
Last column: nearest neighbours and their distance in Å.
Atoms (fractional coordinates):
I (0.0000, 0.5000, 0.0000)  2 Au 2.84
I (0.0000, 0.0000, 0.5000)  2 Au 2.84
I (0.5000, 0.0000, 0.0000)  2 Au 2.84
Re (0.5000, 0.5000, 0.5000)  12 I 4.02
Au (0.0000, 0.0000, 0.0000)  6 I 2.84

## Properties
* density: 6.91 g/cm³
* DOS at the Fermi energy: 1.27 states/eV/f.u.
* crystal system: cubic
* total moment: 5.98 μB per formula unit
* formation energy from raw total energies: 1.267 eV/atom
* ΔE to the lowest computed polymorph: 360 meV/atom

---

[6]
# ReAu2I

ReAu2I after structural relaxation (PBE, Alexandria via LeMat-Bulk).

Unit cell a=8.3293 b=8.3293 c=6.4574 alpha=49.84 beta=49.84 gamma=90.00
Last column: nearest neighbours and their distance in Å.
Atoms (fractional coordinates):
I (0.5000, 0.5000, 0.0000)  2 Re 2.65
I (0.2500, 0.7500, 0.5000)  2 Re 2.65
Re (0.0000, 0.0000, 0.0000)  2 I 2.65, 4 Au 2.67
Re (0.7500, 0.2500, 0.5000)  2 I 2.65, 4 Au 2.67
Au (0.6899, 0.1250, 0.2500)  2 Re 2.67, 2 Au 2.86
Au (0.0601, 0.6250, 0.2500)  2 Re 2.67, 2 Au 2.86
Au (0.3750, 0.3101, 0.7500)  2 Re 2.67, 2 Au 2.86
Au (0.8750, 0.9399, 0.7500)  2 Re 2.67, 2 Au 2.86

## Properties
* density: 12.78 g/cm³
* DOS at the Fermi energy: 6.52 states/eV/f.u.
* crystal system: tetragonal
* total moment: 0.00 μB per formula unit
* formation energy from raw total energies: 1.110 eV/atom
* ΔE to the lowest computed polymorph: 0 meV/atom

---

[7]
# Re2AuI

Re2AuI after structural relaxation (PBE, Alexandria via LeMat-Bulk).

Unit cell a=4.0561 b=4.0561 c=10.4672 alpha=78.83 beta=78.83 gamma=90.00
Last column: nearest neighbours and their distance in Å.
Atoms (fractional coordinates):
I (0.5000, 0.5000, 0.0000)  4 Au 2.87, 4 Re 3.03
I (0.2500, 0.7500, 0.5000)  4 Au 2.87, 4 Re 3.03
Re (0.7074, 0.1250, 0.2500)  2 Re 2.44
Re (0.0426, 0.6250, 0.2500)  2 Re 2.44
Re (0.3750, 0.2926, 0.7500)  2 Re 2.44
Re (0.8750, 0.9574, 0.7500)  2 Re 2.44
Au (0.0000, 0.0000, 0.0000)  4 Re 2.80, 4 I 2.87
Au (0.7500, 0.2500, 0.5000)  4 Re 2.80, 4 I 2.87

## Properties
* density: 13.96 g/cm³
* DOS at the Fermi energy: 2.59 states/eV/f.u.
* crystal system: tetragonal
* total moment: 0.00 μB per formula unit
* formation energy from raw total energies: 1.269 eV/atom
* ΔE to the lowest computed polymorph: 0 meV/atom

---

[8]
# Re2AuI

Re2AuI after structural relaxation (PBE, Alexandria via LeMat-Bulk).

Unit cell a=4.5987 b=4.5987 c=4.5987 alpha=60.00 beta=60.00 gamma=60.00
Last column: nearest neighbours and their distance in Å.
Atoms (fractional coordinates):
I (0.0000, 0.0000, 0.0000)  8 Re 2.82
Re (0.2500, 0.2500, 0.2500)  4 I 2.82, 4 Au 2.82
Re (0.7500, 0.7500, 0.7500)  4 Au 2.82, 4 I 2.82
Au (0.5000, 0.5000, 0.5000)  8 Re 2.82

## Properties
* density: 16.81 g/cm³
* DOS at the Fermi energy: 3.44 states/eV/f.u.
* crystal system: cubic
* total moment: 0.00 μB per formula unit
* formation energy from raw total energies: 1.344 eV/atom
* ΔE to the lowest computed polymorph: 75 meV/atom

---

[9]
# ReAuI2

ReAuI2 after structural relaxation (PBE, Alexandria via LeMat-Bulk).

Unit cell a=6.8967 b=6.8967 c=7.0583 alpha=60.75 beta=60.75 gamma=90.00
Last column: nearest neighbours and their distance in Å.
Atoms (fractional coordinates):
I (0.5841, 0.1250, 0.2500)  2 Re 2.58
I (0.1659, 0.6250, 0.2500)  2 Re 2.58
I (0.3750, 0.4159, 0.7500)  2 Re 2.58
I (0.8750, 0.8341, 0.7500)  2 Re 2.58
Re (0.5000, 0.5000, 0.0000)  4 I 2.58
Re (0.2500, 0.7500, 0.5000)  4 I 2.58
Au (0.0000, 0.0000, 0.0000)  4 I 2.94
Au (0.7500, 0.2500, 0.5000)  4 I 2.94

## Properties
* density: 8.72 g/cm³
* DOS at the Fermi energy: 2.93 states/eV/f.u.
* crystal system: tetragonal
* total moment: 0.00 μB per formula unit
* formation energy from raw total energies: 1.066 eV/atom
* ΔE to the lowest computed polymorph: 0 meV/atom

---

[10]
# ReAu2I

ReAu2I after structural relaxation (PBE, Alexandria via LeMat-Bulk).

Unit cell a=4.8264 b=4.8264 c=4.8264 alpha=60.00 beta=60.00 gamma=60.00
Last column: nearest neighbours and their distance in Å.
Atoms (fractional coordinates):
I (0.0000, 0.0000, 0.0000)  8 Au 2.96
Re (0.5000, 0.5000, 0.5000)  8 Au 2.96
Au (0.2500, 0.2500, 0.2500)  4 Re 2.96, 4 I 2.96
Au (0.7500, 0.7500, 0.7500)  4 Re 2.96, 4 I 2.96

## Properties
* density: 14.77 g/cm³
* DOS at the Fermi energy: 4.78 states/eV/f.u.
* crystal system: cubic
* total moment: 0.00 μB per formula unit
* formation energy from raw total energies: 1.440 eV/atom
* ΔE to the lowest computed polymorph: 330 meV/atom

---

[11]
# ReAuI3

ReAuI3 after structural relaxation (PBE, Alexandria via LeMat-Bulk).

Unit cell a=5.4791 b=5.4791 c=5.4791 alpha=90.00 beta=90.00 gamma=90.00
Last column: nearest neighbours and their distance in Å.
Atoms (fractional coordinates):
I (0.0000, 0.5000, 0.0000)  2 Re 2.74
I (0.0000, 0.0000, 0.5000)  2 Re 2.74
I (0.5000, 0.0000, 0.0000)  2 Re 2.74
Re (0.0000, 0.0000, 0.0000)  6 I 2.74
Au (0.5000, 0.5000, 0.5000)  12 I 3.87

## Properties
* density: 7.71 g/cm³
* DOS at the Fermi energy: 2.64 states/eV/f.u.
* crystal system: cubic
* total moment: 2.55 μB per formula unit
* formation energy from raw total energies: 0.907 eV/atom
* ΔE to the lowest computed polymorph: 0 meV/atom

---

[12]
# ReAuI2

ReAuI2 after structural relaxation (PBE, Alexandria via LeMat-Bulk).

Unit cell a=4.9743 b=4.9743 c=4.9743 alpha=60.00 beta=60.00 gamma=60.00
Last column: nearest neighbours and their distance in Å.
Atoms (fractional coordinates):
I (0.2500, 0.2500, 0.2500)  4 Re 3.05, 4 Au 3.05
I (0.7500, 0.7500, 0.7500)  4 Au 3.05, 4 Re 3.05
Re (0.0000, 0.0000, 0.0000)  8 I 3.05
Au (0.5000, 0.5000, 0.5000)  8 I 3.05

## Properties
* density: 12.15 g/cm³
* DOS at the Fermi energy: 0.51 states/eV/f.u.
* crystal system: cubic
* total moment: 0.00 μB per formula unit
* formation energy from raw total energies: 1.302 eV/atom
* ΔE to the lowest computed polymorph: 236 meV/atom

---

[13]
# ReRu2AuI

ReRu2AuI after structural relaxation (PBE, Alexandria via LeMat-Bulk).

Unit cell a=4.8814 b=5.1327 c=4.8814 alpha=90.00 beta=90.00 gamma=90.00
Last column: nearest neighbours and their distance in Å.
Atoms (fractional coordinates):
I (0.0000, 0.5000, 0.0000)  2 Au 2.57
Re (0.5000, 0.5000, 0.5000)  4 I 3.45, 8 Ru 3.54
Au (0.0000, 0.0000, 0.0000)  4 Ru 2.44, 2 I 2.57
Ru (0.0000, 0.0000, 0.5000)  2 Au 2.44
Ru (0.5000, 0.0000, 0.0000)  2 Au 2.44

## Properties
* density: 9.67 g/cm³
* DOS at the Fermi energy: 10.67 states/eV/f.u.
* crystal system: tetragonal
* total moment: 4.03 μB per formula unit
* formation energy from raw total energies: 2.863 eV/atom